No. 1
Material: Pu2CdSn
Method: DFT, PBE
State: relaxed

```
Pu2CdSn
1.0
-0.3220 -0.4343 -3.2793
2.6566 -0.7685 -1.8433
-1.2009 -11.1119 -0.0945
Cd Sn Pu
1 1 2
direct
0.0000 0.0000 0.0000
0.5000 0.5000 0.5000
0.2486 0.2486 0.2543
0.7514 0.7514 0.7457
```

Final energy, eV/atom: -8.41
ΔH_f (0 K), meV/atom: -17.9
Density, g/cm³: 11.3
Fermi-level density of states, states/eV/cell: 15.35

No. 2
Material: LaSeOF2
Method: DFT, PBE
State: relaxed

```
LaSeOF2
1.0
-3.4327 0.8515 -3.2301
-3.1256 -2.4530 2.6749
-0.9443 3.2242 1.8534
F O Se La
2 1 1 1
direct
0.0000 0.5000 0.0000
0.5000 0.0000 0.0000
0.0000 0.0000 0.5000
0.0000 0.0000 0.0000
0.5000 0.5000 0.5000
```

Final energy, eV/atom: -4.88
ΔE_f (raw), meV per atom: -1459
Density, g/cm³: 5.1
Fermi-level density of states, states/eV/cell: 2.61
Polymorph energy (0 for the lowest one), eV per atom: 0.669

No. 3
Material: ZrAsAu
Method: DFT, PBE
State: relaxed

```
ZrAsAu
1.0
3.9331 0.0000 0.0003
0.0000 3.7625 0.0000
-3.8061 0.0000 16.0445
As Au Zr
4 4 4
direct
0.1307 0.0000 0.5299
0.1307 0.5000 0.0299
0.4646 0.0000 0.3530
0.4646 0.5000 0.8530
0.7379 0.0000 0.6404
0.7379 0.5000 0.1404
0.9303 0.0000 0.8194
0.9303 0.5000 0.3194
0.5802 0.0000 0.9785
0.5802 0.5000 0.4785
0.2878 0.0000 0.1912
0.2878 0.5000 0.6912
```

Final energy, eV/atom: -6.09
ΔH_f (0 K), meV/atom: -602.6
Density, g/cm³: 10.2
Fermi-level density of states, states/eV/cell: 5.33

> Fermi-level density of states of number 3 (ZrAsAu)?

5.33 states/eV/cell